# 1
Material: PaAsPdO
Method: DFT, PBE-GGA
State: relaxed

a = 3.9591 Å, b = 3.9591 Å, c = 8.2695 Å
α = 90.00°, β = 90.00°, γ = 90.00°
Last column: nearest neighbours and their distance in Å.
Sites, in units of the cell vectors:
As (0.7500, 0.7500, 0.3000)  4 Pd 2.58
As (0.2500, 0.2500, 0.7000)  4 Pd 2.58
O (0.7500, 0.2500, 0.0000)  4 Pa 2.41
O (0.2500, 0.7500, 0.0000)  4 Pa 2.41
Pa (0.2500, 0.2500, 0.1661)  4 O 2.41
Pa (0.7500, 0.7500, 0.8339)  4 O 2.41
Pd (0.7500, 0.2500, 0.5000)  4 As 2.58, 4 Pd 2.80
Pd (0.2500, 0.7500, 0.5000)  4 As 2.58, 4 Pd 2.80

Output
Uncorrected energy   -7.3340 eV/atom
Symmetry   No. 129
Size of the total moment   0.00 μB/cell

---

# 2
Material: PaAsPdO
Method: DFT, PBE-GGA
State: relaxed

a = 5.5663 Å, b = 5.5663 Å, c = 4.6079 Å
α = 90.00°, β = 90.00°, γ = 90.00°
Last column: nearest neighbours and their distance in Å.
Sites, in units of the cell vectors:
As (0.7500, 0.7500, 0.4614)  2 Pd 2.30-2.31
As (0.2500, 0.2500, 0.5386)  2 Pd 2.30-2.31
O (0.7500, 0.2500, 0.0000)  2 Pa 2.30
O (0.2500, 0.7500, 0.0000)  2 Pa 2.30
Pa (0.7500, 0.2500, 0.5000)  2 O 2.30
Pa (0.2500, 0.7500, 0.5000)  2 O 2.30
Pd (0.2500, 0.2500, 0.0399)  2 As 2.30-2.31
Pd (0.7500, 0.7500, 0.9601)  2 As 2.30-2.31

Output
Uncorrected energy   -6.6933 eV/atom
Symmetry   No. 129
Size of the total moment   0.00 μB/cell

---

# 3
Material: PmPaAsO
Method: DFT, PBE-GGA
State: relaxed

a = 4.2223 Å, b = 4.2223 Å, c = 9.3933 Å
α = 90.00°, β = 90.00°, γ = 90.00°
Last column: nearest neighbours and their distance in Å.
Sites, in units of the cell vectors:
As (0.7500, 0.7500, 0.2692)  4 Pm 3.03, 4 Pa 3.26, 4 O 3.29
As (0.2500, 0.2500, 0.7308)  4 Pm 3.03, 4 Pa 3.26, 4 O 3.29
O (0.7500, 0.2500, 0.0000)  4 Pa 2.43
O (0.2500, 0.7500, 0.0000)  4 Pa 2.43
Pa (0.2500, 0.2500, 0.1288)  4 O 2.43
Pa (0.7500, 0.7500, 0.8712)  4 O 2.43
Pm (0.7500, 0.2500, 0.5000)  4 Pm 2.99, 4 As 3.03
Pm (0.2500, 0.7500, 0.5000)  4 Pm 2.99, 4 As 3.03

Output
Uncorrected energy   -7.2490 eV/atom
Symmetry   No. 129
Size of the total moment   2.00 μB/cell

---

# 4
Material: PmPaAsO
Method: DFT, PBE-GGA
State: relaxed

a = 4.2511 Å, b = 4.2511 Å, c = 9.5640 Å
α = 90.00°, β = 90.00°, γ = 90.00°
Last column: nearest neighbours and their distance in Å.
Sites, in units of the cell vectors:
As (0.0000, 0.5000, 0.2812)  4 Pa 2.98
As (0.5000, 0.0000, 0.7188)  4 Pa 2.98
O (0.0000, 0.0000, 0.0000)  4 Pm 2.37
O (0.5000, 0.5000, 0.0000)  4 Pm 2.37
Pa (0.0000, 0.0000, 0.5000)  4 As 2.98, 4 Pa 3.01
Pa (0.5000, 0.5000, 0.5000)  4 As 2.98, 4 Pa 3.01
Pm (0.5000, 0.0000, 0.1091)  4 O 2.37
Pm (0.0000, 0.5000, 0.8909)  4 O 2.37

Output
Uncorrected energy   -7.2482 eV/atom
Symmetry   No. 129
Size of the total moment   0.06 μB/cell

---

# 5
Material: PaAsPtO
Method: DFT, PBE-GGA
State: relaxed

a = 3.9071 Å, b = 6.5999 Å, c = 5.9652 Å
α = 90.00°, β = 90.00°, γ = 90.00°
Last column: nearest neighbours and their distance in Å.
Sites, in units of the cell vectors:
As (0.0000, 0.7446, 0.3838)  2 Pt 2.46
As (0.0000, 0.2554, 0.8838)  2 Pt 2.46
O (0.5000, 0.1108, 0.4418)  2 Pa 2.14
O (0.5000, 0.8892, 0.9418)  2 Pa 2.14
Pa (0.0000, 0.2339, 0.3865)  2 O 2.14
Pa (0.0000, 0.7661, 0.8865)  2 O 2.14
Pt (0.5000, 0.4299, 0.0419)  2 As 2.46
Pt (0.5000, 0.5701, 0.5419)  2 As 2.46

Output
Uncorrected energy   -7.2500 eV/atom
Symmetry   No. 26
Size of the total moment   0.00 μB/cell

---

# 6
Material: PaAsPtO
Method: DFT, PBE-GGA
State: relaxed

a = 5.1957 Å, b = 5.1957 Å, c = 4.9250 Å
α = 90.00°, β = 90.00°, γ = 90.00°
Last column: nearest neighbours and their distance in Å.
Sites, in units of the cell vectors:
As (0.7500, 0.7500, 0.2608)  2 Pt 2.40-2.53
As (0.2500, 0.2500, 0.7392)  2 Pt 2.40-2.53
O (0.7500, 0.2500, 0.0000)  2 Pa 2.46
O (0.2500, 0.7500, 0.0000)  2 Pa 2.46
Pa (0.7500, 0.2500, 0.5000)  2 O 2.46
Pa (0.2500, 0.7500, 0.5000)  2 O 2.46
Pt (0.2500, 0.2500, 0.2263)  2 As 2.40-2.53
Pt (0.7500, 0.7500, 0.7737)  2 As 2.40-2.53

Output
Uncorrected energy   -6.6094 eV/atom
Symmetry   No. 129
Size of the total moment   0.01 μB/cell

---

# 7
Material: PaReAsO
Method: DFT, PBE-GGA
State: relaxed

a = 4.0773 Å, b = 4.0773 Å, c = 8.1453 Å
α = 90.00°, β = 90.00°, γ = 90.00°
Last column: nearest neighbours and their distance in Å.
Sites, in units of the cell vectors:
As (0.0000, 0.5000, 0.3222)  4 Re 2.50
As (0.5000, 0.0000, 0.6778)  4 Re 2.50
O (0.0000, 0.0000, 0.0000)  4 Pa 2.42
O (0.5000, 0.5000, 0.0000)  4 Pa 2.42
Pa (0.5000, 0.0000, 0.1604)  4 O 2.42
Pa (0.0000, 0.5000, 0.8396)  4 O 2.42
Re (0.0000, 0.0000, 0.5000)  4 As 2.50
Re (0.5000, 0.5000, 0.5000)  4 As 2.50

Output
Uncorrected energy   -8.8418 eV/atom
Symmetry   No. 129
Size of the total moment   1.49 μB/cell

---

# 8
Material: PaReAsO
Method: DFT, PBE-GGA
State: relaxed

a = 4.2335 Å, b = 4.2335 Å, c = 7.1128 Å
α = 90.00°, β = 90.00°, γ = 90.00°
Last column: nearest neighbours and their distance in Å.
Sites, in units of the cell vectors:
As (0.7500, 0.7500, 0.2072)  1 Re 2.53, 4 O 2.58
As (0.2500, 0.2500, 0.7928)  1 Re 2.53, 4 O 2.58
O (0.7500, 0.2500, 0.0000)  4 Re 2.37, 4 As 2.58
O (0.2500, 0.7500, 0.0000)  4 Re 2.37, 4 As 2.58
Pa (0.7500, 0.2500, 0.5000)  4 As 2.97, 4 Pa 2.99, 4 Re 3.28
Pa (0.2500, 0.7500, 0.5000)  4 As 2.97, 4 Pa 2.99, 4 Re 3.28
Re (0.2500, 0.2500, 0.1484)  4 O 2.37, 1 As 2.53
Re (0.7500, 0.7500, 0.8516)  4 O 2.37, 1 As 2.53

Output
Uncorrected energy   -7.2779 eV/atom
Symmetry   No. 129
Size of the total moment   0.01 μB/cell

---

# 9
Material: PaSbAsO
Method: DFT, PBE-GGA
State: relaxed

a = 4.3324 Å, b = 4.3324 Å, c = 8.8786 Å
α = 90.00°, β = 90.00°, γ = 90.00°
Last column: nearest neighbours and their distance in Å.
Sites, in units of the cell vectors:
As (0.0000, 0.5000, 0.2748)  4 Pa 2.95, 4 O 3.26
As (0.5000, 0.0000, 0.7252)  4 Pa 2.95, 4 O 3.26
O (0.0000, 0.0000, 0.0000)  4 Sb 2.34
O (0.5000, 0.5000, 0.0000)  4 Sb 2.34
Pa (0.0000, 0.0000, 0.5000)  4 As 2.95, 4 Pa 3.06
Pa (0.5000, 0.5000, 0.5000)  4 As 2.95, 4 Pa 3.06
Sb (0.5000, 0.0000, 0.0997)  4 O 2.34
Sb (0.0000, 0.5000, 0.9003)  4 O 2.34

Output
Uncorrected energy   -5.7155 eV/atom
Symmetry   No. 129
Size of the total moment   0.13 μB/cell

---

# 10
Material: PaSbAsO
Method: DFT, PBE-GGA
State: relaxed

a = 4.0839 Å, b = 4.0839 Å, c = 10.1660 Å
α = 90.00°, β = 90.00°, γ = 90.00°
Last column: nearest neighbours and their distance in Å.
Sites, in units of the cell vectors:
As (0.7500, 0.7500, 0.2539)  4 Pa 3.16, 4 Sb 3.23, 4 O 3.29
As (0.2500, 0.2500, 0.7461)  4 Pa 3.16, 4 Sb 3.23, 4 O 3.29
O (0.7500, 0.2500, 0.0000)  4 Pa 2.42
O (0.2500, 0.7500, 0.0000)  4 Pa 2.42
Pa (0.2500, 0.2500, 0.1283)  4 O 2.42
Pa (0.7500, 0.7500, 0.8717)  4 O 2.42
Sb (0.7500, 0.2500, 0.5000)  4 Sb 2.89, 4 As 3.23
Sb (0.2500, 0.7500, 0.5000)  4 Sb 2.89, 4 As 3.23

Output
Uncorrected energy   -6.7172 eV/atom
Symmetry   No. 129
Size of the total moment   1.94 μB/cell

---

# 11
Material: SmPaAsO
Method: DFT, PBE-GGA
State: relaxed

a = 4.2205 Å, b = 4.2205 Å, c = 9.3759 Å
α = 90.00°, β = 90.00°, γ = 90.00°
Last column: nearest neighbours and their distance in Å.
Sites, in units of the cell vectors:
As (0.0000, 0.5000, 0.2710)  4 Sm 3.01, 4 Pa 3.27, 4 O 3.30
As (0.5000, 0.0000, 0.7290)  4 Sm 3.01, 4 Pa 3.27, 4 O 3.30
O (0.0000, 0.0000, 0.0000)  4 Pa 2.43
O (0.5000, 0.5000, 0.0000)  4 Pa 2.43
Pa (0.5000, 0.0000, 0.1295)  4 O 2.43
Pa (0.0000, 0.5000, 0.8705)  4 O 2.43
Sm (0.0000, 0.0000, 0.5000)  4 Sm 2.98, 4 As 3.01
Sm (0.5000, 0.5000, 0.5000)  4 Sm 2.98, 4 As 3.01

Output
Uncorrected energy   -7.2485 eV/atom
Symmetry   No. 129
Size of the total moment   2.02 μB/cell

---

# 12
Material: SmPaAsO
Method: DFT, PBE-GGA
State: relaxed

a = 4.2440 Å, b = 4.2440 Å, c = 9.5193 Å
α = 90.00°, β = 90.00°, γ = 90.00°
Last column: nearest neighbours and their distance in Å.
Sites, in units of the cell vectors:
As (0.0000, 0.5000, 0.2802)  4 Pa 2.98
As (0.5000, 0.0000, 0.7198)  4 Pa 2.98
O (0.0000, 0.0000, 0.0000)  4 Sm 2.36
O (0.5000, 0.5000, 0.0000)  4 Sm 2.36
Pa (0.0000, 0.0000, 0.5000)  4 As 2.98, 4 Pa 3.00
Pa (0.5000, 0.5000, 0.5000)  4 As 2.98, 4 Pa 3.00
Sm (0.5000, 0.0000, 0.1078)  4 O 2.36
Sm (0.0000, 0.5000, 0.8922)  4 O 2.36

Output
Uncorrected energy   -7.2381 eV/atom
Symmetry   No. 129
Size of the total moment   0.05 μB/cell